1.
The following is a DFT calculation (PBE) of an optimized crystal structure of CaNbP2Cl.

abc: 5.1285 5.1285 4.7828
angles: 90.00 90.00 90.00
Closest atoms and distances in Å follow each position.
Space group P4/mmm (No. 123)
Symmetry-distinct sites (fractional):
Ca  0.0000  0.0000  0.0000 (multiplicity 1)  2 Cl 2.39, 4 P 2.56
Nb  0.5000  0.5000  0.5000 (multiplicity 1)  8 P 3.51, 4 Cl 3.63
P  0.0000  0.5000  0.0000 (multiplicity 2)  2 Ca 2.56
Cl  0.0000  0.0000  0.5000 (multiplicity 1)  2 Ca 2.39

Values from the calculation:
VASP energy = -4.015 eV per atom
formation energy from raw total energies = 4.66 eV per formula unit

2.
The following is a DFT calculation (PBE) of an optimized crystal structure of CaNbP2Cl.

abc: 4.8698 4.8698 4.9180
angles: 90.00 90.00 90.00
Closest atoms and distances in Å follow each position.
Space group P4/mmm (No. 123)
Symmetry-distinct sites (fractional):
Ca  0.0000  0.0000  0.0000 (multiplicity 1)  4 Cl 3.44, 8 P 3.46
Nb  0.5000  0.5000  0.5000 (multiplicity 1)  4 P 2.43, 2 Cl 2.46
P  0.0000  0.5000  0.5000 (multiplicity 2)  2 Nb 2.43
Cl  0.5000  0.5000  0.0000 (multiplicity 1)  2 Nb 2.46

Values from the calculation:
VASP energy = -5.566 eV per atom
formation energy from raw total energies = -3.09 eV per formula unit

3.
The following is a DFT calculation (PBE) of an optimized crystal structure of Ca2NbPbCl.

abc: 6.0250 6.0250 5.3385
angles: 90.00 90.00 90.00
Closest atoms and distances in Å follow each position.
Space group P4/mmm (No. 123)
Symmetry-distinct sites (fractional):
Ca  0.0000  0.5000  0.0000 (multiplicity 2)  2 Nb 3.01
Nb  0.0000  0.0000  0.0000 (multiplicity 1)  2 Pb 2.67
Pb  0.0000  0.0000  0.5000 (multiplicity 1)  2 Nb 2.67
Cl  0.5000  0.5000  0.5000 (multiplicity 1)  8 Ca 4.02, 4 Pb 4.26

Values from the calculation:
VASP energy = -3.637 eV per atom
formation energy from raw total energies = 1.44 eV per formula unit

4.
The following is a DFT calculation (PBE) of an optimized crystal structure of CaNbReCl2.

abc: 4.8470 4.8470 7.4029
angles: 90.00 90.00 90.00
Closest atoms and distances in Å follow each position.
Space group P4/mmm (No. 123)
Symmetry-distinct sites (fractional):
Ca  0.0000  0.0000  0.0000 (multiplicity 1)  4 Cl 2.42
Nb  0.0000  0.0000  0.5000 (multiplicity 1)  4 Re 3.43, 2 Ca 3.70
Re  0.5000  0.5000  0.5000 (multiplicity 1)  4 Nb 3.43
Cl  0.0000  0.5000  0.0000 (multiplicity 2)  2 Ca 2.42

Values from the calculation:
VASP energy = -4.709 eV per atom
formation energy from raw total energies = 4.67 eV per formula unit

5.
The following is a DFT calculation (PBE) of an optimized crystal structure of CaNbS2Cl.

abc: 5.1974 5.1974 4.9049
angles: 90.00 90.00 90.00
Closest atoms and distances in Å follow each position.
Space group P4/mmm (No. 123)
Symmetry-distinct sites (fractional):
Ca  0.0000  0.0000  0.0000 (multiplicity 1)  2 Cl 2.45, 4 S 2.60
Nb  0.5000  0.5000  0.5000 (multiplicity 1)  8 S 3.57, 4 Cl 3.68
S  0.0000  0.5000  0.0000 (multiplicity 2)  2 Ca 2.60
Cl  0.0000  0.0000  0.5000 (multiplicity 1)  2 Ca 2.45

Values from the calculation:
VASP energy = -4.374 eV per atom
formation energy from raw total energies = 0.31 eV per formula unit

6.
The following is a DFT calculation (PBE) of an optimized crystal structure of CaNbS2Cl.

abc: 4.8474 4.8474 4.8986
angles: 90.00 90.00 90.00
Closest atoms and distances in Å follow each position.
Space group P4/mmm (No. 123)
Symmetry-distinct sites (fractional):
Ca  0.0000  0.0000  0.0000 (multiplicity 1)  4 Cl 3.43, 8 S 3.45
Nb  0.5000  0.5000  0.5000 (multiplicity 1)  4 S 2.42, 2 Cl 2.45
S  0.0000  0.5000  0.5000 (multiplicity 2)  2 Nb 2.42
Cl  0.5000  0.5000  0.0000 (multiplicity 1)  2 Nb 2.45

Values from the calculation:
VASP energy = -5.514 eV per atom
formation energy from raw total energies = -5.40 eV per formula unit

7.
The following is a DFT calculation (PBE) of an optimized crystal structure of CaNb2TlCl.

abc: 4.6234 4.6234 5.8138
angles: 90.00 90.00 90.00
Closest atoms and distances in Å follow each position.
Space group P4/mmm (No. 123)
Symmetry-distinct sites (fractional):
Ca  0.0000  0.0000  0.0000 (multiplicity 1)  4 Tl 3.27
Nb  0.0000  0.5000  0.5000 (multiplicity 2)  2 Cl 2.31
Tl  0.5000  0.5000  0.0000 (multiplicity 1)  2 Cl 2.91
Cl  0.5000  0.5000  0.5000 (multiplicity 1)  4 Nb 2.31

Values from the calculation:
VASP energy = -4.788 eV per atom
formation energy from raw total energies = 2.42 eV per formula unit

8.
The following is a DFT calculation (PBE) of an optimized crystal structure of CaNd2Cl.

abc: 3.5822 3.5822 34.5009
angles: 90.00 90.00 120.00
Closest atoms and distances in Å follow each position.
Space group R-3m (No. 166, hexagonal axes)
Symmetry-distinct sites (fractional):
Ca  0.0000  0.0000  0.0000 (multiplicity 3)  2 Nd 3.48, 6 Ca 3.58
Nd  0.0000  0.0000  0.1008 (multiplicity 6)  3 Cl 3.07
Cl  0.0000  0.0000  0.5000 (multiplicity 3)  6 Nd 3.07

Values from the calculation:
VASP energy = -3.848 eV per atom
formation energy from raw total energies = -2.01 eV per formula unit

9.
The following is a DFT calculation (PBE) of an optimized crystal structure of CaNdCl2.

abc: 3.9110 3.9110 27.2403
angles: 90.00 90.00 120.00
Closest atoms and distances in Å follow each position.
Space group R-3m (No. 166, hexagonal axes)
Symmetry-distinct sites (fractional):
Ca  0.0000  0.0000  0.0000 (multiplicity 3)  6 Cl 2.74
Nd  0.0000  0.0000  0.5000 (multiplicity 3)  2 Cl 2.99
Cl  0.0000  0.0000  0.3901 (multiplicity 6)  3 Ca 2.74, 1 Nd 2.99

Values from the calculation:
VASP energy = -4.060 eV per atom
formation energy from raw total energies = -5.78 eV per formula unit

10.
The following is a DFT calculation (PBE) of an optimized crystal structure of CaNdCl4.

abc: 6.7752 3.8020 7.4269
angles: 90.00 94.91 90.00
Closest atoms and distances in Å follow each position.
Space group P2/m (No. 10)
Symmetry-distinct sites (fractional):
Ca  0.0000  0.0000  0.0000 (multiplicity 1)  6 Cl 2.73-2.76
Nd  0.0000  0.5000  0.5000 (multiplicity 1)  6 Cl 2.84-2.89
Cl  0.2199  0.5000  0.8439 (multiplicity 2)  2 Ca 2.73, 1 Nd 2.84
Cl  0.2383  0.0000  0.3200 (multiplicity 2)  1 Ca 2.76, 2 Nd 2.89

Values from the calculation:
VASP energy = -4.493 eV per atom
formation energy from raw total energies = -12.80 eV per formula unit

11.
The following is a DFT calculation (PBE) of an optimized crystal structure of CaNdPCl.

abc: 4.0704 4.0704 21.7111
angles: 90.00 90.00 120.00
Closest atoms and distances in Å follow each position.
Space group R3m (No. 160, hexagonal axes)
Symmetry-distinct sites (fractional):
Ca  0.0000  0.0000  0.0000 (multiplicity 3)  3 P 2.78, 3 Cl 3.09
Nd  0.0000  0.0000  0.1913 (multiplicity 3)  3 P 2.84
P  0.0000  0.0000  0.5979 (multiplicity 3)  3 Ca 2.78, 3 Nd 2.84
Cl  0.0000  0.0000  0.4254 (multiplicity 3)  3 Ca 3.09, 3 Nd 3.19

Values from the calculation:
VASP energy = -5.062 eV per atom
formation energy from raw total energies = -6.22 eV per formula unit

12.
The following is a DFT calculation (PBE) of an optimized crystal structure of RbCaNdCl6.

abc: 7.2750 7.2750 14.1796
angles: 90.00 90.00 120.00
Closest atoms and distances in Å follow each position.
Space group P-31c (No. 163)
Symmetry-distinct sites (fractional):
Rb  0.0000  0.0000  0.0000 (multiplicity 2)  6 Cl 3.38
Ca  0.3333  0.6667  0.2500 (multiplicity 2)  6 Cl 2.76
Nd  0.3333  0.6667  0.7500 (multiplicity 2)  6 Cl 2.76
Cl  0.9997  0.3742  0.1414 (multiplicity 12)  1 Nd 2.76, 1 Ca 2.76

Values from the calculation:
VASP energy = -4.370 eV per atom
formation energy from raw total energies = -20.52 eV per formula unit

no.,size of the total moment (μB/cell)
1,0.00
2,0.00
3,2.15
4,0.12
5,2.02
6,0.00
7,0.00
8,0.00
9,1.25
10,0.00
11,1.91
12,0.00